Entry w
Material: ScZnInS3
Method: DFT, GGA-PBE
State: relaxed

a = 11.490 Å, b = 3.770 Å, c = 12.069 Å
α = 90.00°, β = 90.00°, γ = 90.00°
Atoms (fractional coordinates):
S 0.397 0.500 0.936
S 0.264 0.000 0.683
S 0.603 0.000 0.064
S 0.457 0.000 0.294
S 0.543 0.500 0.706
S 0.764 0.000 0.817
S 0.897 0.500 0.564
S 0.736 0.500 0.317
S 0.236 0.500 0.183
S 0.103 0.000 0.436
S 0.957 0.000 0.206
S 0.043 0.500 0.794
In 0.870 0.500 0.966
In 0.130 0.000 0.034
In 0.630 0.000 0.466
In 0.370 0.500 0.534
Sc 0.463 0.500 0.147
Sc 0.037 0.000 0.647
Sc 0.963 0.500 0.353
Sc 0.537 0.000 0.853
Zn 0.254 0.000 0.307
Zn 0.754 0.000 0.193
Zn 0.246 0.500 0.807
Zn 0.746 0.500 0.693

## Properties
Volume, Å³ per atom: 21.8
Calculated density, Mg/m³: 4.08

=====

Entry x
Material: ScZnInS3
Method: DFT, GGA-PBE
State: relaxed

a = 7.245 Å, b = 7.245 Å, c = 10.029 Å
α = 90.00°, β = 90.00°, γ = 30.29°
Atoms (fractional coordinates):
S 0.623 0.623 0.551
S 0.377 0.377 0.051
S 0.061 0.061 0.250
S 0.377 0.377 0.449
S 0.623 0.623 0.949
S 0.939 0.939 0.750
Sc 0.000 0.000 0.500
Sc 0.000 0.000 0.000
In 0.744 0.744 0.250
In 0.256 0.256 0.750
Zn 0.458 0.458 0.250
Zn 0.542 0.542 0.750

## Properties
Volume, Å³ per atom: 22.1
Calculated density, Mg/m³: 4.02

=====

The winner here is entry x, beating the second structure by 74 meV/atom.